# 1
VASP calculation (PBE) on TlIrI2O after structural relaxation.

Values from the calculation:
SG: P4/mmm, No. 123
Theoretical density (Mg/m³): 8.441
E_form (uncorrected) (meV per atom): -254.0
Energy relative to the lowest polymorph listed for this composition (meV per atom): 0
Total magnetic moment (μB per atom): 0.000
N(E_F) (states/eV/f.u.): 3.0
Total DFT energy (no corrections) (eV per atom): -4.111

Cell and atoms, written as CIF:
```
data_TlIrI2O
_cell_length_a 5.877
_cell_length_b 5.877
_cell_length_c 3.795
_cell_angle_alpha 90.00
_cell_angle_beta 90.00
_cell_angle_gamma 90.00
_space_group_name_H-M_alt 'P 1'
_space_group_IT_number 1
loop_
_space_group_symop_operation_xyz
'x,y,z'
loop_
_atom_site_label
_atom_site_fract_x
_atom_site_fract_y
_atom_site_fract_z
Tl1 0.000 0.000 0.000
Ir1 0.500 0.500 0.500
I1 0.000 0.500 0.500
I2 0.500 0.000 0.500
O1 0.500 0.500 0.000
```



# 2
VASP calculation (PBE) on TlIrIO2 after structural relaxation.

Values from the calculation:
SG: P4/mmm, No. 123
Theoretical density (Mg/m³): 7.870
E_form (uncorrected) (meV per atom): 836.5
Energy relative to the lowest polymorph listed for this composition (meV per atom): 790
Total magnetic moment (μB per atom): 0.361
N(E_F) (states/eV/f.u.): 3.4
Total DFT energy (no corrections) (eV per atom): -3.702

Cell and atoms, written as CIF:
```
data_TlIrIO2
_cell_length_a 4.047
_cell_length_b 4.047
_cell_length_c 7.156
_cell_angle_alpha 90.00
_cell_angle_beta 90.00
_cell_angle_gamma 90.00
_space_group_name_H-M_alt 'P 1'
_space_group_IT_number 1
loop_
_space_group_symop_operation_xyz
'x,y,z'
loop_
_atom_site_label
_atom_site_fract_x
_atom_site_fract_y
_atom_site_fract_z
Tl1 0.000 0.000 0.000
Ir1 0.500 0.500 0.500
I1 0.000 0.000 0.500
O1 0.000 0.500 0.000
O2 0.500 0.000 0.000
```



# 3
VASP calculation (PBE) on TlIrIO2 after structural relaxation.

Values from the calculation:
SG: P4/mmm, No. 123
Theoretical density (Mg/m³): 9.301
E_form (uncorrected) (meV per atom): 46.9
Energy relative to the lowest polymorph listed for this composition (meV per atom): 0
Total magnetic moment (μB per atom): 0.000
N(E_F) (states/eV/f.u.): 4.0
Total DFT energy (no corrections) (eV per atom): -4.492

Cell and atoms, written as CIF:
```
data_TlIrIO2
_cell_length_a 4.120
_cell_length_b 4.120
_cell_length_c 5.842
_cell_angle_alpha 90.00
_cell_angle_beta 90.00
_cell_angle_gamma 90.00
_space_group_name_H-M_alt 'P 1'
_space_group_IT_number 1
loop_
_space_group_symop_operation_xyz
'x,y,z'
loop_
_atom_site_label
_atom_site_fract_x
_atom_site_fract_y
_atom_site_fract_z
Tl1 0.000 0.000 0.000
Ir1 0.500 0.500 0.500
I1 0.500 0.500 0.000
O1 0.000 0.500 0.500
O2 0.500 0.000 0.500
```